Below is an optimized crystal structure of BaZnPt, with properties calculated at the PBE level.

Lattice parameters (Å, degrees): 6.1637 6.1638 3.6243 72.90 72.90 34.20
Fractional positions:
Ba: 0.9950 0.9950 0.0050
Pt: 0.2891 0.2891 0.7109
Zn: 0.7159 0.7159 0.2841

Results
The space-group type is I4mm, No. 107. The formation enthalpy at 0 K is -0.42 eV per atom. For the energy, the calculation gives -0.1286 hartree per atom. Its total moment is 0.00 μB per cell.